No. 1
# Li2ErBiSe4 | the Alexandria database | PBE | optimized geometry
# * density: 6.2 g/cm³
# * formation energy (no corrections): -1204.6 meV per atom
# * D(E_F): 0.00 states/eV/atom
# * calculated total energy: -4.481 eV per atom
data_Li2ErBiSe4
_cell_length_a 6.9662
_cell_length_b 4.0874
_cell_length_c 7.1203
_cell_angle_alpha 90.00
_cell_angle_beta 109.97
_cell_angle_gamma 90.00
_symmetry_space_group_name_H-M 'P 1 2/m 1'
_symmetry_Int_Tables_number 10
_symmetry_space_group_name_Hall '-P 2y'
loop_
_atom_site_label
_atom_site_type_symbol
_atom_site_fract_x
_atom_site_fract_y
_atom_site_fract_z
Li1 Li 0.0000 0.0000 0.0000
Li2 Li 0.0000 0.5000 0.5000
Er1 Er 0.5000 0.0000 0.5000
Bi1 Bi 0.5000 0.5000 0.0000
Se1 Se 0.2392 0.0000 0.7374
Se2 Se 0.2469 0.5000 0.2556

=====

No. 2
# LaInBi3 | the Alexandria database | PBE | optimized geometry
# * density: 6.2 g/cm³
# * polymorph energy (0 for the lowest one): 3.51 eV/f.u.
# * D(E_F): 1.08 states/eV/atom
# * calculated total energy: -3.507 eV per atom
# * formation energy: 8.18 kcal/mol of atoms
data_LaInBi3
_cell_length_a 6.1740
_cell_length_b 6.1740
_cell_length_c 6.1740
_cell_angle_alpha 90.00
_cell_angle_beta 90.00
_cell_angle_gamma 90.00
_symmetry_space_group_name_H-M 'P m -3 m'
_symmetry_Int_Tables_number 221
_symmetry_space_group_name_Hall '-P 4 2 3'
loop_
_atom_site_label
_atom_site_type_symbol
_atom_site_fract_x
_atom_site_fract_y
_atom_site_fract_z
La1 La 0.0000 0.0000 0.0000
In1 In 0.5000 0.5000 0.5000
Bi1 Bi 0.0000 0.0000 0.5000

=====

No. 3
# Rb2CdFe | the Alexandria database | PBE | optimized geometry
# * density: 2.7 g/cm³
# * D(E_F): 1.53 states/eV/atom
# * calculated total energy: -2.131 eV per atom
# * formation energy: 16.09 kcal/mol of atoms
data_Rb2CdFe
_cell_length_a 12.8095
_cell_length_b 12.8095
_cell_length_c 5.1805
_cell_angle_alpha 90.00
_cell_angle_beta 90.00
_cell_angle_gamma 90.00
_symmetry_space_group_name_H-M 'I -4 2 d'
_symmetry_Int_Tables_number 122
_symmetry_space_group_name_Hall 'I -4 2bw'
loop_
_atom_site_label
_atom_site_type_symbol
_atom_site_fract_x
_atom_site_fract_y
_atom_site_fract_z
Rb1 Rb 0.0801 0.2500 0.1250
Cd1 Cd 0.0000 0.0000 0.5000
Fe1 Fe 0.0000 0.0000 0.0000

=====

No. 4
# Tb4Ce3SmP8 | the Alexandria database | PBE | optimized geometry
# * density: 6.4 g/cm³
# * D(E_F): 0.92 states/eV/atom
# * calculated total energy: -6.840 eV per atom
# * formation energy: -36.21 kcal/mol of atoms
data_Tb4Ce3SmP8
_cell_length_a 8.1199
_cell_length_b 8.1199
_cell_length_c 19.8554
_cell_angle_alpha 90.00
_cell_angle_beta 90.00
_cell_angle_gamma 120.00
_symmetry_space_group_name_H-M 'R -3 m'
_symmetry_Int_Tables_number 166
_symmetry_space_group_name_Hall '-R 3 2"'
loop_
_atom_site_label
_atom_site_type_symbol
_atom_site_fract_x
_atom_site_fract_y
_atom_site_fract_z
Tb1 Tb 0.0000 0.0000 0.0000
Tb2 Tb 0.0000 0.5000 0.0000
Ce1 Ce 0.0000 0.5000 0.5000
Sm1 Sm 0.0000 0.0000 0.5000
P1 P 0.0000 0.0000 0.2507
P2 P 0.0020 0.5010 0.7493

=====

Which of these has the lowest calculated total energy? Tb4Ce3SmP8